Computed, not measured: a geometry-optimized Ta2FeN6F12 structure at the PBE with a Hubbard U level of DFT.

Calculated values
The calculation puts the energy at -113.93 eV per cell. For the volume, the calculation gives 541.7 Å³ per cell.

Cell: 9.1501 9.1501 9.1501 Å, 60.00 60.00 60.00°
Positions (direct):
Ta1 0.2500 0.2500 0.2500
Ta2 0.7500 0.7500 0.7500
Fe1 0.0000 0.0000 0.0000
N1 0.1548 0.1548 0.8452
N2 0.1548 0.8452 0.1548
N3 0.1548 0.8452 0.8452
N4 0.8452 0.1548 0.1548
N5 0.8452 0.1548 0.8452
N6 0.8452 0.8452 0.1548
F1 0.1013 0.1013 0.3987
F2 0.1013 0.3987 0.1013
F3 0.1013 0.3987 0.3987
F4 0.3987 0.1013 0.1013
F5 0.3987 0.1013 0.3987
F6 0.3987 0.3987 0.1013
F7 0.6013 0.6013 0.8987
F8 0.6013 0.8987 0.6013
F9 0.6013 0.8987 0.8987
F10 0.8987 0.6013 0.6013
F11 0.8987 0.6013 0.8987
F12 0.8987 0.8987 0.6013